[1]
The following is a DFT calculation (PBE) of a relaxed structure of YSiSe2N.

## Properties
Size of the total moment in μB per formula unit: 0.000
Uncorrected energy in eV for the cell shown: -29.969
Raw formation energy in eV per atom: -0.56

a b c (Å): 5.087 5.087 3.475
angles (deg): 90.00 90.00 90.00
Atoms (fractional coordinates):
Se  0.000  0.500  0.000
Se  0.500  0.000  0.000
Si  0.000  0.000  0.000
Y  0.500  0.500  0.500
N  0.000  0.000  0.500

[2]
The following is a DFT calculation (PBE) of a relaxed structure of Cs2RbMoCl6.

## Properties
Size of the total moment in μB per formula unit: 3.000
Uncorrected energy in eV for the cell shown: -80.476
Raw formation energy in eV per atom: -1.57

a b c (Å): 7.771 8.081 11.188
angles (deg): 90.00 90.00 90.00
Last column: magnetic moment on the atom in μB.
Atoms (fractional coordinates):
Cl  0.724  0.019  0.500  0.01
Cl  0.725  0.451  0.500  0.02
Cl  0.225  0.549  0.000  0.02
Cl  0.000  0.766  0.220  0.01
Cl  0.224  0.981  0.000  0.01
Cl  0.500  0.234  0.720  0.01
Cl  0.776  0.981  0.000  0.01
Cl  0.275  0.451  0.500  0.02
Cl  0.000  0.766  0.780  0.01
Cl  0.500  0.234  0.280  0.01
Cl  0.276  0.019  0.500  0.01
Cl  0.775  0.549  0.000  0.02
Mo  0.000  0.764  0.000  2.46
Mo  0.500  0.236  0.500  2.46
Rb  0.000  0.734  0.500  0.00
Rb  0.500  0.266  0.000  0.00
Cs  0.500  0.767  0.239  0.00
Cs  0.000  0.233  0.739  0.00
Cs  0.500  0.767  0.761  0.00
Cs  0.000  0.233  0.261  0.00

[3]
The following is a DFT calculation (PBE) of a relaxed structure of Ce3Tc.

## Properties
Size of the total moment in μB per formula unit: 0.001
Formation energy in meV per atom: -12
Uncorrected energy in eV for the cell shown: -225.737

a b c (Å): 5.692 11.671 11.671
angles (deg): 90.00 90.00 90.00
Atoms (fractional coordinates):
Ce  0.948  0.124  0.584
Ce  0.245  0.865  0.945
Ce  0.745  0.555  0.365
Ce  0.448  0.916  0.624
Ce  0.755  0.945  0.135
Ce  0.502  0.333  0.196
Ce  0.502  0.667  0.804
Ce  0.755  0.055  0.865
Ce  0.552  0.376  0.916
Ce  0.498  0.196  0.667
Ce  0.998  0.833  0.696
Ce  0.255  0.365  0.445
Ce  0.448  0.084  0.376
Ce  0.255  0.635  0.555
Ce  0.002  0.304  0.833
Ce  0.052  0.416  0.124
Ce  0.745  0.445  0.635
Ce  0.245  0.135  0.055
Ce  0.002  0.696  0.167
Ce  0.052  0.584  0.876
Ce  0.948  0.876  0.416
Ce  0.552  0.624  0.084
Ce  0.498  0.804  0.333
Ce  0.998  0.167  0.304
Tc  0.766  0.192  0.075
Tc  0.766  0.808  0.925
Tc  0.734  0.692  0.575
Tc  0.734  0.308  0.425
Tc  0.234  0.075  0.808
Tc  0.266  0.425  0.692
Tc  0.266  0.575  0.308
Tc  0.234  0.925  0.192

[4]
The following is a DFT calculation (PBE) of a relaxed structure of SrMg2W.

## Properties
Size of the total moment in μB per formula unit: 0.000
Formation energy in meV per atom: 618
Uncorrected energy in eV for the cell shown: -15.354

a b c (Å): 2.976 2.983 10.269
angles (deg): 90.00 90.00 90.00
Atoms (fractional coordinates):
Sr  0.000  0.000  0.520
Mg  0.000  0.000  0.980
Mg  0.500  0.500  0.225
W  0.500  0.500  0.775

[5]
The following is a DFT calculation (PBE) of a relaxed structure of Ac2GaHg3.

## Properties
Size of the total moment in μB per formula unit: 0.000
Formation energy in meV per atom: -476
Uncorrected energy in eV for the cell shown: -15.007

a b c (Å): 3.962 5.025 8.673
angles (deg): 90.00 90.00 90.00
Atoms (fractional coordinates):
Hg  0.500  0.000  0.833
Hg  0.500  0.000  0.173
Hg  0.500  0.500  0.659
Ac  0.000  0.500  0.005
Ac  0.000  0.000  0.496
Ga  0.500  0.500  0.334

[6]
The following is a DFT calculation (PBE) of a relaxed structure of Er6ScPb.

## Properties
Size of the total moment in μB per formula unit: 0.004
Formation energy in meV per atom: -101
Uncorrected energy in eV for the cell shown: -38.224

a b c (Å): 4.839 6.910 6.910
angles (deg): 89.99 90.00 90.00
Atoms (fractional coordinates):
Er  0.000  0.744  0.256
Er  0.500  0.000  0.500
Er  0.000  0.745  0.745
Er  0.000  0.255  0.255
Er  0.500  0.500  0.000
Er  0.000  0.256  0.744
Pb  0.500  0.000  0.000
Sc  0.500  0.500  0.500

[7]
The following is a DFT calculation (PBE) of a relaxed structure of TiTc2Os.

## Properties
Size of the total moment in μB per formula unit: 0.000
Formation energy in meV per atom: 479
Uncorrected energy in eV for the cell shown: -75.880

a b c (Å): 7.150 7.150 5.663
angles (deg): 50.85 50.85 90.00
Atoms (fractional coordinates):
Tc  0.375  0.355  0.750
Tc  0.105  0.625  0.250
Tc  0.645  0.125  0.250
Tc  0.875  0.895  0.750
Ti  0.500  0.500  0.000
Ti  0.250  0.750  0.500
Os  0.750  0.250  0.500
Os  0.000  0.000  0.000

[8]
The following is a DFT calculation (PBE) of a relaxed structure of Y4Br.

## Properties
Size of the total moment in μB per formula unit: 0.000
Uncorrected energy in eV for the cell shown: -28.630
Raw formation energy in eV per atom: -0.22

a b c (Å): 5.440 5.440 5.440
angles (deg): 90.00 90.00 90.00
Atoms (fractional coordinates):
Y  0.500  0.500  0.000
Y  0.000  0.500  0.500
Y  0.500  0.000  0.500
Y  0.000  0.000  0.000
Br  0.500  0.500  0.500